(1)
# Th3Si4Ag2

Th3Si4Ag2 after structural relaxation (PBE, the Alexandria database).

Values from the calculation:
Magnetization = 0.0000 μB per atom
Calculated volume = 21.7 Å³/atom
Raw formation energy = -571 meV/atom

```
data_Th3Si4Ag2
_symmetry_space_group_name_H-M 'C 1 2/m 1'
_symmetry_Int_Tables_number 12
_cell_length_a 11.0963
_cell_length_b 4.2727
_cell_length_c 8.4221
_cell_angle_alpha 90.00
_cell_angle_beta 101.63
_cell_angle_gamma 90.00
loop_
_symmetry_equiv_pos_as_xyz
'x,y,z'
'-x,-y,-z'
'-x,y,-z'
'x,-y,z'
'x+1/2,y+1/2,z'
'-x+1/2,-y+1/2,-z'
'-x+1/2,y+1/2,-z'
'x+1/2,-y+1/2,z'
loop_
_atom_site_label
_atom_site_type_symbol
_atom_site_fract_x
_atom_site_fract_y
_atom_site_fract_z
_atom_site_occupancy
Th1 Th 0.0000 0.0000 0.0000 1
Th2 Th 0.1634 0.5000 0.6745 1
Si1 Si 0.0612 0.0000 0.3998 1
Si2 Si 0.2228 0.5000 0.0492 1
Ag1 Ag 0.1142 0.5000 0.2792 1
```

***

(2)
# PaFeCoTc

PaFeCoTc after structural relaxation (PBE, the Alexandria database).

Values from the calculation:
Magnetization = 0.8686 μB per atom
ΔE_f = 0.034 eV/atom
Calculated volume = 15.6 Å³/atom

```
data_PaFeCoTc
_symmetry_space_group_name_H-M 'F -4 3 m'
_symmetry_Int_Tables_number 216
_symmetry_space_group_name_Hall 'F -4 2 3'
_cell_length_a 6.3015
_cell_length_b 6.3015
_cell_length_c 6.3015
_cell_angle_alpha 90.00
_cell_angle_beta 90.00
_cell_angle_gamma 90.00
loop_
_atom_site_label
_atom_site_type_symbol
_atom_site_fract_x
_atom_site_fract_y
_atom_site_fract_z
_atom_site_occupancy
Pa1 Pa 0.0000 0.0000 0.0000 1
Fe1 Fe 0.0000 0.0000 0.5000 1
Co1 Co 0.2500 0.2500 0.2500 1
Tc1 Tc 0.2500 0.2500 0.7500 1
```

***

(3)
# AlPdPb2

AlPdPb2 after structural relaxation (PBE, the Alexandria database).

Values from the calculation:
Magnetization = 0.0000 μB per atom
ΔE_f = 0.185 eV/atom
Calculated volume = 24.7 Å³/atom

```
data_AlPdPb2
_symmetry_space_group_name_H-M 'I -4 2 d'
_symmetry_Int_Tables_number 122
_symmetry_space_group_name_Hall 'I -4 2bw'
_cell_length_a 4.4975
_cell_length_b 4.4975
_cell_length_c 19.5021
_cell_angle_alpha 90.00
_cell_angle_beta 90.00
_cell_angle_gamma 90.00
loop_
_atom_site_label
_atom_site_type_symbol
_atom_site_fract_x
_atom_site_fract_y
_atom_site_fract_z
_atom_site_occupancy
Al1 Al 0.0000 0.0000 0.0000 1
Pd1 Pd 0.0000 0.0000 0.5000 1
Pb1 Pb 0.2430 0.2500 0.6250 1
```